(1)
A relaxed structure of Ho5Fe2Sn, computed with PBE-GGA.

Geometry as extended XYZ:
```
16
Lattice="6.603 0.000 -3.117 -1.471 6.437 -3.117 0.224 0.281 9.027" Properties=species:S:1:pos:R:3 pbc="T T T"
Ho 2.766 4.659 2.811
Ho 3.996 6.202 -3.135
Ho 0.000 0.000 0.000
Ho 2.566 3.218 -3.117
Ho 1.360 0.516 5.928
Ho 4.450 1.440 3.922
Ho -0.324 3.735 4.817
Ho 0.906 5.278 -1.129
Ho 5.680 2.983 -2.024
Ho 2.590 2.059 -0.018
Fe 0.124 2.533 -1.558
Fe 3.847 0.685 -2.222
Fe 1.284 5.752 -4.012
Fe 5.008 3.903 -4.675
Sn 3.961 4.968 -0.162
Sn 1.395 1.750 2.955
```

DOS at the Fermi energy: 13.815 states/eV per cell
Size of the total moment: 0.00 μB per formula unit
Theoretical density: 8.9 g cm⁻³
Volume: 395.2 Å³ per cell
Space group: No. 140
DFT formation energy: -0.23 eV/atom

(2)
A relaxed structure of Pm2SmHo2Tm, computed with PBE-GGA.

Geometry as extended XYZ:
```
12
Lattice="-1.487 -0.124 3.212 1.909 -5.758 0.660 15.588 6.021 7.447" Properties=species:S:1:pos:R:3 pbc="T T T"
Pm 3.282 -3.932 3.319
Pm 6.003 0.142 2.783
Pm 12.729 4.070 8.001
Pm 11.494 0.121 5.324
Sm 0.211 -2.941 1.936
Sm 7.794 3.010 3.723
Ho 6.209 -2.808 4.717
Ho 9.801 2.946 6.602
Ho 14.418 1.257 6.721
Ho 3.079 -0.994 1.386
Tm 0.000 0.000 0.000
Tm 8.005 0.069 5.660
```

DOS at the Fermi energy: 17.824 states/eV per cell
Size of the total moment: 0.00 μB per formula unit
Theoretical density: 7.9 g cm⁻³
Volume: 395.4 Å³ per cell
Space group: No. 58
DFT formation energy: 0.10 eV/atom

Question: What is the formula in the second record?
Answer: Pm2SmHo2Tm